No. 1
Computed, not measured: a relaxed structure of Hg2PAu at the GGA-PBE level of DFT.

Lattice parameters (Å, degrees): 5.6242 5.6242 2.8303 90.46 90.46 90.46
Closest atoms and distances in Å follow each position.
Fractional coordinates of all 4 atoms:
Hg 0.0000 0.5000 0.0000  2 Au 2.81, 2 P 2.81, 2 Hg 2.83
Hg 0.5000 0.0000 0.0000  2 Au 2.81, 2 P 2.81, 2 Hg 2.83
P 0.0000 0.0000 0.0000  4 Hg 2.81, 2 P 2.83
Au 0.5000 0.5000 0.0000  4 Hg 2.81, 2 Au 2.83

Summary:
- VASP energy (eV/cell) = -8.0
- DFT formation energy (eV/atom) = 0.312
- space group = C2/m (12)
- crystal system = monoclinic

---

No. 2
Computed, not measured: a relaxed structure of HgPAu2 at the GGA-PBE level of DFT.

Lattice parameters (Å, degrees): 2.9989 2.9989 10.2009 90.00 90.00 121.77
Closest atoms and distances in Å follow each position.
Fractional coordinates of all 4 atoms:
Hg 0.0000 0.0000 0.0000  6 Hg 2.92-3.00, 2 Au 3.08, 2 P 3.24
P 0.5000 0.5000 0.2833  2 Au 2.57
Au 0.0000 0.0000 0.4906  2 P 2.57
Au 0.5000 0.5000 0.7342  8 Au 2.88-3.00, 2 Hg 3.08

Summary:
- VASP energy (eV/cell) = -11.0
- DFT formation energy (eV/atom) = 0.310
- space group = Cmm2 (35)
- crystal system = orthorhombic

---

No. 3
Computed, not measured: a relaxed structure of HgP2Au at the GGA-PBE level of DFT.

Lattice parameters (Å, degrees): 3.0420 3.0420 10.5766 90.00 90.00 124.48
Closest atoms and distances in Å follow each position.
Fractional coordinates of all 4 atoms:
Hg 0.0000 0.0000 0.0000  6 Hg 2.83-3.04
P 0.5000 0.5000 0.2953  2 Au 2.59, 2 P 2.83
P 0.5000 0.5000 0.7047  2 Au 2.59, 2 P 2.83
Au 0.0000 0.0000 0.5000  4 P 2.59, 2 Au 2.83

Summary:
- VASP energy (eV/cell) = -12.4
- DFT formation energy (eV/atom) = 0.501
- space group = Cmmm (65)
- crystal system = orthorhombic

---

No. 4
Computed, not measured: a relaxed structure of Hg2PAu at the GGA-PBE level of DFT.

Lattice parameters (Å, degrees): 3.5583 3.5583 7.5817 90.00 90.00 90.00
Closest atoms and distances in Å follow each position.
Fractional coordinates of all 4 atoms:
Hg 0.0000 0.0000 0.0000  1 P 2.56
Hg 0.5000 0.5000 0.2329  1 Au 2.86, 4 Hg 3.07
P 0.0000 0.0000 0.6629  4 Au 2.55, 1 Hg 2.56
Au 0.5000 0.5000 0.6100  4 P 2.55

Summary:
- VASP energy (eV/cell) = -8.6
- DFT formation energy (eV/atom) = 0.184
- space group = P4mm (99)
- crystal system = tetragonal

---

No. 5
Computed, not measured: a relaxed structure of HgP2Au at the GGA-PBE level of DFT.

Lattice parameters (Å, degrees): 7.7928 7.7928 7.7928 25.18 25.18 25.18
Closest atoms and distances in Å follow each position.
Fractional coordinates of all 4 atoms:
Hg 0.0000 0.0000 0.0000  3 Au 2.96, 3 P 3.01
P 0.4898 0.4898 0.4898  3 P 2.33
P 0.7675 0.7675 0.7675  3 P 2.33
Au 0.2353 0.2353 0.2353  3 P 2.65, 3 Hg 2.96

Summary:
- VASP energy (eV/cell) = -13.8
- DFT formation energy (eV/atom) = 0.151
- space group = R3m (160)
- crystal system = trigonal

---

No. 6
Computed, not measured: a relaxed structure of Hg2PAu at the GGA-PBE level of DFT.

Lattice parameters (Å, degrees): 4.8693 4.8693 4.8693 60.00 60.00 60.00
Closest atoms and distances in Å follow each position.
Fractional coordinates of all 4 atoms:
Hg 0.0000 0.0000 0.0000  4 P 2.98, 4 Hg 2.98
Hg 0.2500 0.2500 0.2500  4 Au 2.98, 4 Hg 2.98
P 0.7500 0.7500 0.7500  4 Au 2.98, 4 Hg 2.98
Au 0.5000 0.5000 0.5000  4 Hg 2.98, 4 P 2.98

Summary:
- VASP energy (eV/cell) = -7.4
- DFT formation energy (eV/atom) = 0.470
- space group = F-43m (216)
- crystal system = cubic